Computed, not measured: crystalline MgMoO4 at its relaxed geometry at the PBE+U level of DFT.

```
MgMoO4
1.0
5.227 -4.714 0.000
5.227 4.714 0.000
-2.071 0.000 6.829
Mg Mo O
4 4 16
Direct
0.180 0.820 0.000 Mg
0.201 0.201 0.358 Mg
0.799 0.799 0.642 Mg
0.820 0.180 0.000 Mg
0.251 0.749 0.500 Mo
0.271 0.271 0.906 Mo
0.729 0.729 0.094 Mo
0.749 0.251 0.500 Mo
0.110 0.804 0.696 O
0.140 0.140 0.040 O
0.196 0.890 0.304 O
0.201 0.201 0.646 O
0.211 0.522 0.973 O
0.216 0.502 0.391 O
0.478 0.789 0.027 O
0.498 0.784 0.609 O
0.502 0.216 0.391 O
0.522 0.211 0.973 O
0.784 0.498 0.609 O
0.789 0.478 0.027 O
0.799 0.799 0.354 O
0.804 0.110 0.696 O
0.860 0.860 0.960 O
0.890 0.196 0.304 O
```

D(E_F)   0.0 states/eV/f.u.
Electronic total energy   -6.79 eV per atom